Entry 1:
A plane-wave DFT calculation with GGA-PBE was carried out for an optimized crystal structure of PtAuCl2.

a = 3.794 Å, b = 8.012 Å, c = 7.779 Å
α = 90.00°, β = 90.00°, γ = 90.00°
Space group Imm2 (No. 44)
One atom of each set of equivalent atoms:
Pt 0.000 0.000 0.000
Au 0.000 0.500 0.739
Cl 0.000 0.000 0.434
Cl 0.000 0.500 0.345

Calculated values
Energy relative to the elements, uncorrected: 72.7 meV per atom

Entry 2:
A plane-wave DFT calculation with GGA-PBE was carried out for an optimized crystal structure of PtAu2Cl2.

a = 3.626 Å, b = 3.626 Å, c = 18.723 Å
α = 90.00°, β = 90.00°, γ = 90.00°
Space group I4/mmm (No. 139)
One atom of each set of equivalent atoms:
Pt 0.000 0.000 0.000
Au 0.000 0.500 0.250
Cl 0.000 0.000 0.421

Calculated values
Energy relative to the elements, uncorrected: 677.2 meV per atom

Entry 3:
A plane-wave DFT calculation with GGA-PBE was carried out for an optimized crystal structure of Pt2AuCl.

a = 6.024 Å, b = 3.500 Å, c = 7.728 Å
α = 90.00°, β = 91.88°, γ = 90.00°
Space group Cm (No. 8)
One atom of each set of equivalent atoms:
Pt 0.000 0.000 0.000
Pt 0.174 0.500 0.209
Au 0.323 0.000 0.765
Cl 0.346 0.000 0.403

Calculated values
Energy relative to the elements, uncorrected: 188.8 meV per atom

Entry 4:
A plane-wave DFT calculation with GGA-PBE was carried out for an optimized crystal structure of PtAuCl2.

a = 3.759 Å, b = 3.759 Å, c = 7.057 Å
α = 90.00°, β = 90.00°, γ = 90.00°
Space group P4mm (No. 99)
One atom of each set of equivalent atoms:
Pt 0.000 0.000 0.000
Au 0.500 0.500 0.059
Cl 0.000 0.000 0.320
Cl 0.500 0.500 0.717

Calculated values
Energy relative to the elements, uncorrected: 272.6 meV per atom

What did the first record say?
A plane-wave DFT calculation with GGA-PBE was carried out for an optimized crystal structure of PtAuCl2.

a = 3.794 Å, b = 8.012 Å, c = 7.779 Å
α = 90.00°, β = 90.00°, γ = 90.00°
Space group Imm2 (No. 44)
One atom of each set of equivalent atoms:
Pt 0.000 0.000 0.000
Au 0.000 0.500 0.739
Cl 0.000 0.000 0.434
Cl 0.000 0.500 0.345

Calculated values
Energy relative to the elements, uncorrected: 72.7 meV per atom